# 1
Crystalline Ga2AuCl at its relaxed geometry, computed with GGA-PBE.

Output
The value obtained for the formation energy from raw total energies is -0.411 eV/atom. As for the space group: R-3m. For the excess energy over the best structure of this formula in the dataset, the calculation gives 0.00 eV/f.u. The total energy comes out at -0.23561 Ry/atom.

Cell and atoms, written as extended XYZ:
```
4
Lattice="-1.3616 0.2896 -4.3255 1.0164 -3.3219 -2.9292 -5.0417 -3.7254 -1.0491" Properties=species:S:1:pos:R:3 pbc="T T T"
Ga -2.4188 -4.1748 -6.6785
Ga -2.9682 -2.5829 -1.6254
Au -2.6935 -3.3788 -4.1519
Cl 0.0000 0.0000 0.0000
```

=====

# 2
Crystalline GaAuCl4 at its relaxed geometry, computed with GGA-PBE.

Output
The value obtained for the formation energy from raw total energies is -0.616 eV/atom. As for the space group: P2_1/c. The total energy comes out at -0.21301 Ry/atom.

Cell and atoms, written as extended XYZ:
```
12
Lattice="-2.8195 2.0763 -0.7709 -3.0637 -1.7509 6.4892 5.4052 9.3645 5.4530" Properties=species:S:1:pos:R:3 pbc="T T T"
Cl 2.9784 9.0846 5.0575
Cl -3.4563 0.6053 6.1138
Cl 0.3371 4.2953 3.3108
Cl 2.4739 7.3907 9.5460
Cl -2.9518 2.2992 1.6253
Cl 2.1270 5.1696 5.9645
Cl -0.8150 5.3946 7.8605
Cl -2.6049 4.5202 5.2068
Au -2.9416 0.1627 2.8591
Au 2.7026 4.6822 2.7265
Ga -0.2390 4.8449 5.5856
Ga 0.0000 0.0000 0.0000
```

=====

# 3
Crystalline GaAuCl5 at its relaxed geometry, computed with GGA-PBE.

Output
The value obtained for the formation energy from raw total energies is -0.713 eV/atom. As for the space group: C2/c. The total energy comes out at -0.21551 Ry/atom.

Cell and atoms, written as extended XYZ:
```
14
Lattice="-6.4431 3.0115 -1.9033 4.5145 2.1716 -5.3951 -0.7769 -9.9870 -0.0441" Properties=species:S:1:pos:R:3 pbc="T T T"
Cl 0.7807 -1.2800 -4.0102
Cl 1.9780 -6.3955 -4.5369
Cl -2.3955 3.2815 -5.1528
Cl -2.7016 -0.3606 -5.2376
Cl -3.3002 -0.9998 -1.0000
Cl -4.6835 1.5917 -2.8055
Cl 0.5947 -3.8040 -6.3425
Cl -3.4862 -3.5238 -3.3322
Cl -0.3100 -8.0853 -2.1897
Cl -0.0039 -4.4432 -2.1048
Ga 0.8945 -6.3449 -2.4820
Ga -3.6000 1.5411 -4.8604
Au -3.6100 -3.4877 -0.9737
Au -3.2216 1.5058 -0.9516
```

=====

# 4
Crystalline Ga2AuCl at its relaxed geometry, computed with GGA-PBE.

Output
The value obtained for the formation energy from raw total energies is -0.189 eV/atom. As for the space group: Fm-3m. For the excess energy over the best structure of this formula in the dataset, the calculation gives 0.89 eV/f.u. The total energy comes out at -0.21929 Ry/atom.

Cell and atoms, written as extended XYZ:
```
4
Lattice="1.2712 -4.0229 -2.5849 -2.5768 -4.1917 0.5209 -2.8991 -1.5952 -3.6786" Properties=species:S:1:pos:R:3 pbc="T T T"
Cl 0.0000 0.0000 0.0000
Ga -1.0512 -2.4524 -1.4357
Ga -3.1536 -7.3573 -4.3070
Au -2.1024 -4.9049 -2.8713
```

=====

# 5
Crystalline GaHgAu2Cl at its relaxed geometry, computed with GGA-PBE.

Output
The value obtained for the formation energy from raw total energies is 0.485 eV/atom. As for the space group: P4/mmm. The total energy comes out at -0.13675 Ry/atom.

Cell and atoms, written as extended XYZ:
```
5
Lattice="-3.0641 -3.3644 -2.0634 1.5667 -3.7804 3.8374 -3.6919 1.5196 3.0044" Properties=species:S:1:pos:R:3 pbc="T T T"
Hg -2.5946 -2.8126 2.3892
Ga 0.7834 -1.8902 1.9187
Au -1.5320 -1.6822 -1.0317
Au -1.8459 0.7598 1.5022
Cl 0.0000 0.0000 0.0000
```

=====

# 6
Crystalline K2GaAuCl6 at its relaxed geometry, computed with GGA-PBE.

Output
The value obtained for the formation energy from raw total energies is -1.170 eV/atom. As for the space group: Fm-3m. For the excess energy over the best structure of this formula in the dataset, the calculation gives 1.47 eV/f.u. The total energy comes out at -0.22990 Ry/atom.

Cell and atoms, written as extended XYZ:
```
10
Lattice="4.0322 3.2183 5.0574 -3.1746 3.3950 5.5308 0.3680 -2.8012 6.6492" Properties=species:S:1:pos:R:3 pbc="T T T"
Cl 0.4840 -0.5703 7.5826
Cl -1.3796 2.6893 6.9942
Cl 0.7415 4.3823 9.6548
Cl 2.4116 2.5964 6.7452
Cl -1.1860 1.2157 10.4921
Cl 2.6052 1.1228 10.2431
K 0.9192 2.8590 12.9280
K 0.3064 0.9530 4.3093
Au 0.6128 1.9060 8.6187
Ga 0.0000 0.0000 0.0000
```